[1]
{
  "formula": "SrLi2SiO4",
  "functional": "PBEsol",
  "state": "relaxed",
  "lattice": [[5.007, 0.000, 0.000], [-2.503, 4.336, 0.000], [0.000, 0.000, 12.407]],
  "species": ["Sr", "Sr", "Sr", "Li", "Li", "Li", "Li", "Li", "Li", "Si", "Si", "Si", "O", "O", "O", "O", "O", "O", "O", "O", "O", "O", "O", "O"],
  "fractional_positions": [[0.581, 0.581, 0.167], [0.419, 0.000, 0.500], [0.000, 0.419, 0.833], [0.336, 0.927, 0.255], [0.073, 0.409, 0.588], [0.591, 0.664, 0.921], [0.664, 0.591, 0.412], [0.409, 0.073, 0.745], [0.927, 0.336, 0.079], [0.722, 0.722, 0.667], [0.278, 0.000, 0.000], [0.000, 0.278, 0.333], [0.452, 0.965, 0.893], [0.035, 0.487, 0.226], [0.513, 0.548, 0.559], [0.548, 0.513, 0.774], [0.487, 0.035, 0.107], [0.965, 0.452, 0.441], [0.930, 0.691, 0.004], [0.309, 0.239, 0.337], [0.761, 0.070, 0.670], [0.070, 0.761, 0.663], [0.239, 0.309, 0.996], [0.691, 0.930, 0.330]],
  "space_group": "No. 152",
  "raw_formation_energy_ev_per_atom": -2.71,
  "dos_at_fermi_per_ev_fu": 0.0,
  "dft_energy_ev_per_atom": -6.77
}

=====

[2]
{
  "formula": "LiV2O3F3",
  "functional": "PBEsol",
  "state": "relaxed",
  "lattice": [[-2.008, -0.190, 4.555], [4.181, -2.578, -0.804], [2.244, 4.456, -1.355]],
  "species": ["F", "F", "F", "Li", "O", "O", "O", "V", "V"],
  "fractional_positions": [[0.148, 0.765, 0.264], [0.501, 0.380, 0.237], [0.499, 0.645, 0.756], [0.585, 0.803, 0.345], [0.057, 0.825, 0.734], [0.907, 0.251, 0.751], [0.906, 0.153, 0.256], [0.994, 0.488, 0.522], [0.992, 0.020, 0.988]],
  "space_group": "No. 1",
  "raw_formation_energy_ev_per_atom": -2.59,
  "dos_at_fermi_per_ev_fu": 1.3,
  "dft_energy_ev_per_atom": -7.34
}

=====

[3]
{
  "formula": "Er2MgOs",
  "functional": "PBEsol",
  "state": "relaxed",
  "lattice": [[4.884, 0.000, 0.000], [2.442, 4.230, 0.000], [2.442, 1.410, 3.988]],
  "species": ["Mg", "Os", "Er", "Er"],
  "fractional_positions": [[0.500, 0.500, 0.500], [0.000, 0.000, 0.000], [0.750, 0.750, 0.750], [0.250, 0.250, 0.250]],
  "space_group": "No. 225",
  "dos_at_fermi_per_ev_fu": 2.5,
  "dft_energy_ev_per_atom": -6.12
}

=====

[4]
{
  "formula": "Tl2AgP",
  "functional": "PBEsol",
  "state": "relaxed",
  "lattice": [[3.975, 0.000, 0.000], [1.987, 3.442, 0.000], [1.987, 1.147, 6.691]],
  "species": ["Ag", "P", "Tl", "Tl"],
  "fractional_positions": [[0.500, 0.500, 0.500], [0.000, 0.000, 0.000], [0.256, 0.256, 0.232], [0.744, 0.744, 0.768]],
  "space_group": "No. 166",
  "dos_at_fermi_per_ev_fu": 1.4,
  "dft_energy_ev_per_atom": -3.34
}

=====

[5]
{
  "formula": "BePb2W",
  "functional": "PBEsol",
  "state": "relaxed",
  "lattice": [[-2.548, -2.149, -0.799], [1.727, -0.417, -4.382], [2.650, -3.660, 1.393]],
  "species": ["Pb", "Pb", "Be", "W"],
  "fractional_positions": [[0.000, 0.000, 0.500], [0.000, 0.500, 0.000], [0.500, 0.000, 0.000], [0.500, 0.500, 0.500]],
  "space_group": "No. 123",
  "dos_at_fermi_per_ev_fu": 2.9,
  "dft_energy_ev_per_atom": -5.35
}

=====

[6]
{
  "formula": "Zn2PSe",
  "functional": "PBEsol",
  "state": "relaxed",
  "lattice": [[4.512, 0.000, 0.000], [2.256, 3.908, 0.000], [2.256, 1.303, 3.684]],
  "species": ["P", "Se", "Zn", "Zn"],
  "fractional_positions": [[0.000, 0.000, 0.000], [0.500, 0.500, 0.500], [0.250, 0.250, 0.250], [0.750, 0.750, 0.750]],
  "space_group": "No. 225",
  "raw_formation_energy_ev_per_atom": 0.32,
  "dos_at_fermi_per_ev_fu": 2.3,
  "dft_energy_ev_per_atom": -2.89
}

=====

[7]
{
  "formula": "ScReOs2",
  "functional": "PBEsol",
  "state": "relaxed",
  "lattice": [[-0.049, -2.995, -0.309], [1.892, 0.384, -4.019], [3.144, 1.044, 4.053]],
  "species": ["Os", "Os", "Re", "Sc"],
  "fractional_positions": [[0.999, 0.999, 0.999], [0.755, 0.255, 0.511], [0.496, 0.496, 0.993], [0.249, 0.749, 0.498]],
  "space_group": "No. 44",
  "dos_at_fermi_per_ev_fu": 3.2,
  "dft_energy_ev_per_atom": -11.00
}

=====

[8]
{
  "formula": "Ba2CdOsO6",
  "functional": "PBEsol",
  "state": "relaxed",
  "lattice": [[5.885, 0.000, 0.000], [2.942, 5.096, 0.000], [2.942, 1.699, 4.805]],
  "species": ["Ba", "Ba", "Cd", "Os", "O", "O", "O", "O", "O", "O"],
  "fractional_positions": [[0.250, 0.250, 0.250], [0.750, 0.750, 0.750], [0.500, 0.500, 0.500], [0.000, 0.000, 0.000], [0.769, 0.231, 0.231], [0.231, 0.769, 0.769], [0.769, 0.231, 0.769], [0.231, 0.769, 0.231], [0.769, 0.769, 0.231], [0.231, 0.231, 0.769]],
  "space_group": "No. 225",
  "raw_formation_energy_ev_per_atom": -1.83,
  "dos_at_fermi_per_ev_fu": 5.6,
  "dft_energy_ev_per_atom": -6.75
}

=====

[9]
{
  "formula": "RbSn2Pb2",
  "functional": "PBEsol",
  "state": "relaxed",
  "lattice": [[-2.079, 2.773, 1.035], [-7.339, -3.883, -4.337], [-2.213, -4.593, 7.859]],
  "species": ["Pb", "Pb", "Pb", "Pb", "Sn", "Sn", "Sn", "Sn", "Rb", "Rb"],
  "fractional_positions": [[0.000, 0.366, 0.866], [0.000, 0.866, 0.634], [0.000, 0.634, 0.134], [0.000, 0.134, 0.366], [0.500, 0.153, 0.653], [0.500, 0.653, 0.847], [0.500, 0.847, 0.347], [0.500, 0.347, 0.153], [0.000, 0.000, 0.000], [0.000, 0.500, 0.500]],
  "space_group": "No. 127",
  "dos_at_fermi_per_ev_fu": 2.6,
  "dft_energy_ev_per_atom": -3.57
}

=====

[10]
{
  "formula": "BaRe3Pb",
  "functional": "PBEsol",
  "state": "relaxed",
  "lattice": [[-3.575, 1.609, 3.124], [2.179, -2.481, 3.772], [2.757, 4.048, 1.070]],
  "species": ["Pb", "Re", "Re", "Re", "Ba"],
  "fractional_positions": [[0.500, 0.500, 0.500], [0.000, 0.500, 0.000], [0.000, 0.000, 0.500], [0.500, 0.000, 0.000], [0.000, 0.000, 0.000]],
  "space_group": "No. 221",
  "dos_at_fermi_per_ev_fu": 7.3,
  "dft_energy_ev_per_atom": -5.48
}

=====

[11]
{
  "formula": "NaEuTiNbO6F",
  "functional": "PBEsol",
  "state": "relaxed",
  "lattice": [[-3.273, 6.040, -1.901], [-7.134, -0.107, -1.419], [-4.476, 3.264, 4.715]],
  "species": ["Na", "Na", "Eu", "Eu", "Ti", "Ti", "Nb", "Nb", "O", "O", "O", "O", "O", "O", "O", "O", "O", "O", "O", "O", "F", "F"],
  "fractional_positions": [[0.500, 0.000, 0.500], [0.000, 0.000, 0.500], [0.000, 0.000, 0.000], [0.000, 0.500, 0.500], [0.000, 0.500, 0.000], [0.500, 0.500, 0.000], [0.500, 0.500, 0.500], [0.500, 0.000, 0.000], [0.827, 0.423, 0.923], [0.432, 0.818, 0.318], [0.830, 0.437, 0.317], [0.416, 0.817, 0.937], [0.416, 0.437, 0.317], [0.830, 0.817, 0.937], [0.173, 0.577, 0.077], [0.568, 0.182, 0.682], [0.170, 0.563, 0.683], [0.584, 0.183, 0.063], [0.584, 0.563, 0.683], [0.170, 0.183, 0.063], [0.126, 0.124, 0.624], [0.874, 0.876, 0.376]],
  "space_group": "No. 74",
  "raw_formation_energy_ev_per_atom": -2.83,
  "dos_at_fermi_per_ev_fu": 8.2,
  "dft_energy_ev_per_atom": -8.70
}

=====

[12]
{
  "formula": "InTeO3F",
  "functional": "PBEsol",
  "state": "relaxed",
  "lattice": [[-1.435, 3.632, -3.732], [-5.642, 2.664, 4.761], [5.460, 5.299, 3.057]],
  "species": ["In", "In", "In", "In", "Te", "Te", "Te", "Te", "O", "O", "O", "O", "O", "O", "O", "O", "O", "O", "O", "O", "F", "F", "F", "F"],
  "fractional_positions": [[0.229, 0.328, 0.140], [0.729, 0.172, 0.860], [0.771, 0.672, 0.860], [0.271, 0.828, 0.140], [0.708, 0.150, 0.296], [0.208, 0.350, 0.704], [0.292, 0.850, 0.704], [0.792, 0.650, 0.296], [0.899, 0.175, 0.097], [0.399, 0.325, 0.903], [0.101, 0.825, 0.903], [0.601, 0.675, 0.097], [0.562, 0.372, 0.276], [0.062, 0.128, 0.724], [0.438, 0.628, 0.724], [0.938, 0.872, 0.276], [0.421, 0.076, 0.162], [0.921, 0.424, 0.838], [0.579, 0.924, 0.838], [0.079, 0.576, 0.162], [0.043, 0.299, 0.381], [0.543, 0.201, 0.619], [0.957, 0.701, 0.619], [0.457, 0.799, 0.381]],
  "space_group": "No. 14",
  "raw_formation_energy_ev_per_atom": -1.58,
  "dos_at_fermi_per_ev_fu": 0.0,
  "dft_energy_ev_per_atom": -5.61
}

=====

[13]
{
  "formula": "Be5Te",
  "functional": "PBEsol",
  "state": "relaxed",
  "lattice": [[-2.035, -3.829, 1.580], [-0.216, -3.765, -2.661], [2.546, -3.707, 1.036]],
  "species": ["Be", "Be", "Be", "Be", "Be", "Te"],
  "fractional_positions": [[0.250, 0.250, 0.250], [0.622, 0.135, 0.622], [0.622, 0.622, 0.135], [0.622, 0.622, 0.622], [0.135, 0.622, 0.622], [0.000, 0.000, 0.000]],
  "space_group": "No. 216",
  "raw_formation_energy_ev_per_atom": 0.59,
  "dos_at_fermi_per_ev_fu": 2.9,
  "dft_energy_ev_per_atom": -3.33
}

=====

[14]
{
  "formula": "Li2AgF5",
  "functional": "PBEsol",
  "state": "relaxed",
  "lattice": [[-3.161, -1.593, 0.705], [0.405, -4.891, -2.234], [0.641, -1.356, 5.403]],
  "species": ["Li", "Li", "Ag", "F", "F", "F", "F", "F"],
  "fractional_positions": [[0.492, 0.209, 0.580], [0.878, 0.604, 0.461], [0.880, 0.050, 0.009], [0.958, 0.206, 0.722], [0.131, 0.274, 0.180], [0.394, 0.525, 0.505], [0.629, 0.836, 0.823], [0.768, 0.911, 0.305]],
  "space_group": "No. 1",
  "raw_formation_energy_ev_per_atom": -1.99,
  "dft_energy_ev_per_atom": -4.10
}

=====

[15]
{
  "formula": "K2ZrFe",
  "functional": "PBEsol",
  "state": "relaxed",
  "lattice": [[3.282, 0.000, 0.000], [0.000, 6.339, 0.000], [-1.641, -3.170, 6.097]],
  "species": ["Fe", "K", "K", "Zr"],
  "fractional_positions": [[0.208, 0.708, 0.417], [0.948, 0.948, 0.897], [0.762, 0.262, 0.523], [0.582, 0.582, 0.163]],
  "space_group": "No. 44",
  "dos_at_fermi_per_ev_fu": 3.9,
  "dft_energy_ev_per_atom": -4.21
}

=====

[16]
{
  "formula": "ZnOs",
  "functional": "PBEsol",
  "state": "relaxed",
  "lattice": [[2.813, 0.000, 0.000], [0.000, 2.813, 0.000], [0.000, 0.000, 6.902]],
  "species": ["Zn", "Zn", "Os", "Os"],
  "fractional_positions": [[0.500, 0.000, 0.623], [0.000, 0.500, 0.377], [0.500, 0.000, 0.121], [0.000, 0.500, 0.879]],
  "space_group": "No. 129",
  "dos_at_fermi_per_ev_fu": 0.6,
  "dft_energy_ev_per_atom": -6.84
}

=====

[17]
{
  "formula": "TlCrTc2",
  "functional": "PBEsol",
  "state": "relaxed",
  "lattice": [[2.850, 0.000, 0.000], [1.425, 2.468, 0.000], [1.425, 0.823, 8.719]],
  "species": ["Cr", "Tc", "Tc", "Tl"],
  "fractional_positions": [[0.000, 0.000, 0.000], [0.261, 0.261, 0.216], [0.739, 0.739, 0.784], [0.500, 0.500, 0.500]],
  "space_group": "No. 166",
  "dos_at_fermi_per_ev_fu": 4.3,
  "dft_energy_ev_per_atom": -8.32
}

=====

[18]
{
  "formula": "K2TiMoH",
  "functional": "PBEsol",
  "state": "relaxed",
  "lattice": [[4.350, 0.000, 0.000], [0.000, 6.407, 0.000], [0.000, 0.000, 6.407]],
  "species": ["H", "Mo", "K", "K", "Ti"],
  "fractional_positions": [[0.500, 0.500, 0.500], [0.000, 0.000, 0.000], [0.000, 0.000, 0.500], [0.000, 0.500, 0.000], [0.500, 0.000, 0.000]],
  "space_group": "No. 123",
  "dos_at_fermi_per_ev_fu": 3.5,
  "dft_energy_ev_per_atom": -3.63
}

=====

[19]
{
  "formula": "BMo3S",
  "functional": "PBEsol",
  "state": "relaxed",
  "lattice": [[4.150, 0.000, 0.000], [0.000, 4.150, 0.000], [0.000, 0.000, 4.150]],
  "species": ["Mo", "Mo", "Mo", "B", "S"],
  "fractional_positions": [[0.000, 0.500, 0.000], [0.000, 0.000, 0.500], [0.500, 0.000, 0.000], [0.000, 0.000, 0.000], [0.500, 0.500, 0.500]],
  "space_group": "No. 221",
  "raw_formation_energy_ev_per_atom": 0.64,
  "dos_at_fermi_per_ev_fu": 6.9,
  "dft_energy_ev_per_atom": -8.70
}

=====

[20]
{
  "formula": "K2NaAl3F12",
  "functional": "PBEsol",
  "state": "relaxed",
  "lattice": [[-6.782, -1.209, 0.650], [1.281, -6.842, 0.646], [0.694, 1.034, 9.563]],
  "species": ["K", "K", "K", "K", "Na", "Na", "Al", "Al", "Al", "Al", "Al", "Al", "F", "F", "F", "F", "F", "F", "F", "F", "F", "F", "F", "F", "F", "F", "F", "F", "F", "F", "F", "F", "F", "F", "F", "F"],
  "fractional_positions": [[0.459, 0.250, 0.357], [0.019, 0.250, 0.101], [0.541, 0.750, 0.643], [0.981, 0.750, 0.899], [0.208, 0.750, 0.239], [0.792, 0.250, 0.761], [0.500, 0.000, 0.000], [0.311, 0.250, 0.717], [0.689, 0.750, 0.283], [0.000, 0.500, 0.500], [0.500, 0.500, 0.000], [0.000, 0.000, 0.500], [0.215, 0.439, 0.603], [0.133, 0.042, 0.346], [0.742, 0.453, 0.952], [0.867, 0.958, 0.654], [0.785, 0.939, 0.397], [0.468, 0.250, 0.059], [0.424, 0.440, 0.823], [0.920, 0.250, 0.504], [0.258, 0.953, 0.048], [0.526, 0.250, 0.617], [0.742, 0.047, 0.952], [0.576, 0.560, 0.177], [0.576, 0.940, 0.177], [0.532, 0.750, 0.941], [0.215, 0.061, 0.603], [0.106, 0.250, 0.823], [0.894, 0.750, 0.177], [0.133, 0.458, 0.346], [0.474, 0.750, 0.383], [0.867, 0.542, 0.654], [0.785, 0.561, 0.397], [0.424, 0.060, 0.823], [0.080, 0.750, 0.496], [0.258, 0.547, 0.048]],
  "space_group": "No. 11",
  "raw_formation_energy_ev_per_atom": -3.38,
  "dos_at_fermi_per_ev_fu": 0.0,
  "dft_energy_ev_per_atom": -5.56
}

=====

[21]
{
  "formula": "ZrCu",
  "functional": "PBEsol",
  "state": "relaxed",
  "lattice": [[-1.620, 0.056, -2.756], [-0.319, -4.067, 0.104], [-3.637, 0.388, 4.000]],
  "species": ["Cu", "Cu", "Zr", "Zr"],
  "fractional_positions": [[0.570, 0.750, 0.141], [0.430, 0.250, 0.859], [0.849, 0.750, 0.697], [0.151, 0.250, 0.303]],
  "space_group": "No. 63",
  "dos_at_fermi_per_ev_fu": 2.0,
  "dft_energy_ev_per_atom": -6.85
}

=====

[22]
{
  "formula": "MgSc2Cu",
  "functional": "PBEsol",
  "state": "relaxed",
  "lattice": [[-0.899, -1.911, 2.360], [-0.443, -2.352, -2.074], [7.460, -2.282, 0.995]],
  "species": ["Sc", "Sc", "Mg", "Cu"],
  "fractional_positions": [[0.000, 0.000, 0.001], [0.500, 0.500, 0.297], [0.500, 0.500, 0.702], [0.000, 0.000, 0.500]],
  "space_group": "No. 99",
  "dos_at_fermi_per_ev_fu": 4.5,
  "dft_energy_ev_per_atom": -4.87
}

=====

[23]
{
  "formula": "LiZr2Cl",
  "functional": "PBEsol",
  "state": "relaxed",
  "lattice": [[-2.137, 2.258, -0.959], [-2.349, -0.776, -2.114], [-6.871, -1.713, 5.758]],
  "species": ["Cl", "Li", "Zr", "Zr"],
  "fractional_positions": [[0.498, 0.498, 0.506], [0.239, 0.239, 0.283], [0.003, 0.003, 0.991], [0.760, 0.760, 0.719]],
  "space_group": "No. 160",
  "raw_formation_energy_ev_per_atom": -0.55,
  "dos_at_fermi_per_ev_fu": 2.3,
  "dft_energy_ev_per_atom": -6.09
}